# 1
# CaSmPuO6

Crystalline CaSmPuO6 at its relaxed geometry (PBE, Alexandria via LeMat-Bulk).

Unit cell a=5.7361 b=5.7361 c=9.6154 alpha=90.00 beta=90.00 gamma=120.00
With the nearest neighbours (Å) after each atom.
Fractional positions:
Ca (0.3333, 0.6667, 0.2500)  6 O 2.34
Ca (0.6667, 0.3333, 0.7500)  6 O 2.34
Sm (0.0000, 0.0000, 0.0000)  6 O 2.39
Sm (0.0000, 0.0000, 0.5000)  6 O 2.39
Pu (0.3333, 0.6667, 0.7500)  6 O 2.02
Pu (0.6667, 0.3333, 0.2500)  6 O 2.02
O (0.0427, 0.3692, 0.6345)  1 Pu 2.02
O (0.0427, 0.6735, 0.8655)  1 Pu 2.02
O (0.3265, 0.3692, 0.8655)  1 Pu 2.02
O (0.3265, 0.9573, 0.6345)  1 Pu 2.02
O (0.3692, 0.0427, 0.1345)  1 Pu 2.02
O (0.3692, 0.3265, 0.3655)  1 Pu 2.02
O (0.6308, 0.6735, 0.6345)  1 Pu 2.02
O (0.6308, 0.9573, 0.8655)  1 Pu 2.02
O (0.6735, 0.0427, 0.3655)  1 Pu 2.02
O (0.6735, 0.6308, 0.1345)  1 Pu 2.02
O (0.9573, 0.3265, 0.1345)  1 Pu 2.02
O (0.9573, 0.6308, 0.3655)  1 Pu 2.02

uncorrected formation energy: -272.4 kJ per mole of atoms

=====

# 2
# Tl12CdSb3

Crystalline Tl12CdSb3 at its relaxed geometry (PBE, Alexandria via LeMat-Bulk).

Unit cell a=5.0221 b=5.0221 c=19.3549 alpha=90.00 beta=90.00 gamma=90.00
With the nearest neighbours (Å) after each atom.
Fractional positions:
Tl (0.0000, 0.0000, 0.0000)  8 Tl 3.49, 4 Sb 3.55
Tl (0.0000, 0.0000, 0.2479)  8 Tl 3.46-3.49, 4 Sb 3.55
Tl (0.0000, 0.0000, 0.5000)  8 Tl 3.51, 4 Cd 3.55
Tl (0.0000, 0.0000, 0.7521)  8 Tl 3.46-3.49, 4 Sb 3.55
Tl (0.0000, 0.5000, 0.1251)  8 Tl 3.46-3.55, 4 Sb 3.49-3.57
Tl (0.0000, 0.5000, 0.3734)  2 Sb 3.38, 8 Tl 3.49-3.55, 2 Cd 3.51
Tl (0.0000, 0.5000, 0.6266)  2 Sb 3.38, 8 Tl 3.49-3.55, 2 Cd 3.51
Tl (0.0000, 0.5000, 0.8749)  8 Tl 3.46-3.55, 4 Sb 3.49-3.57
Tl (0.5000, 0.0000, 0.1251)  8 Tl 3.46-3.55, 4 Sb 3.49-3.57
Tl (0.5000, 0.0000, 0.3734)  2 Sb 3.38, 8 Tl 3.49-3.55, 2 Cd 3.51
Tl (0.5000, 0.0000, 0.6266)  2 Sb 3.38, 8 Tl 3.49-3.55, 2 Cd 3.51
Tl (0.5000, 0.0000, 0.8749)  8 Tl 3.46-3.55, 4 Sb 3.49-3.57
Cd (0.5000, 0.5000, 0.5000)  12 Tl 3.51-3.55
Sb (0.5000, 0.5000, 0.0000)  12 Tl 3.49-3.55
Sb (0.5000, 0.5000, 0.2562)  12 Tl 3.38-3.57
Sb (0.5000, 0.5000, 0.7438)  12 Tl 3.38-3.57

uncorrected formation energy: 0.5 kJ per mole of atoms
D(E_F): 6.0 states/eV per cell

=====

# 3
# Dy6Er2Al

Crystalline Dy6Er2Al at its relaxed geometry (PBE, Alexandria via LeMat-Bulk).

Unit cell a=9.9439 b=10.1391 c=5.3139 alpha=90.00 beta=90.00 gamma=90.00
With the nearest neighbours (Å) after each atom.
Fractional positions:
Dy (0.0297, 0.1860, 0.0000)  1 Al 3.20, 3 Er 3.26-3.30, 1 Dy 3.47
Dy (0.1290, 0.6157, 0.5000)  2 Al 3.18, 3 Dy 3.41-3.48, 4 Er 3.50-3.54
Dy (0.1849, 0.9471, 0.5000)  1 Al 3.18, 3 Er 3.32-3.37, 1 Dy 3.41
Dy (0.3151, 0.4471, 0.0000)  1 Al 3.18, 3 Er 3.32-3.37, 1 Dy 3.41
Dy (0.3710, 0.1157, 0.0000)  2 Al 3.18, 3 Dy 3.41-3.48, 4 Er 3.50-3.54
Dy (0.4703, 0.6860, 0.5000)  1 Al 3.20, 3 Er 3.26-3.30, 1 Dy 3.47
Dy (0.5297, 0.3140, 0.5000)  1 Al 3.20, 3 Er 3.26-3.30, 1 Dy 3.47
Dy (0.6290, 0.8843, 0.0000)  2 Al 3.18, 3 Dy 3.41-3.48, 4 Er 3.50-3.54
Dy (0.6849, 0.5529, 0.0000)  1 Al 3.18, 3 Er 3.32-3.37, 1 Dy 3.41
Dy (0.8151, 0.0529, 0.5000)  1 Al 3.18, 3 Er 3.32-3.37, 1 Dy 3.41
Dy (0.8710, 0.3843, 0.5000)  2 Al 3.18, 3 Dy 3.41-3.48, 4 Er 3.50-3.54
Dy (0.9703, 0.8140, 0.0000)  1 Al 3.20, 3 Er 3.26-3.30, 1 Dy 3.47
Er (0.2041, 0.2740, 0.5000)  10 Dy 3.26-3.54
Er (0.2959, 0.7740, 0.0000)  10 Dy 3.26-3.54
Er (0.7041, 0.2260, 0.0000)  10 Dy 3.26-3.54
Er (0.7959, 0.7260, 0.5000)  10 Dy 3.26-3.54
Al (0.0000, 0.5000, 0.0000)  8 Dy 3.18-3.20
Al (0.5000, 0.0000, 0.5000)  8 Dy 3.18-3.20

ΔH_f (0 K): -0.11 eV per formula unit
D(E_F): 26.1 states/eV per cell

=====

# 4
# Sm2PaRhN4

Crystalline Sm2PaRhN4 at its relaxed geometry (PBE, Alexandria via LeMat-Bulk).

Unit cell a=6.0584 b=6.0584 c=11.9075 alpha=90.00 beta=90.00 gamma=147.25
With the nearest neighbours (Å) after each atom.
Fractional positions:
Sm (0.1285, 0.8715, 0.5547)  4 N 2.36-2.59
Sm (0.1285, 0.8715, 0.9453)  4 N 2.36-2.59
Sm (0.8715, 0.1285, 0.0547)  4 N 2.36-2.59
Sm (0.8715, 0.1285, 0.4453)  4 N 2.36-2.59
Pa (0.3856, 0.6144, 0.7500)  6 N 2.40-2.44
Pa (0.6144, 0.3856, 0.2500)  6 N 2.40-2.44
Rh (0.3531, 0.6469, 0.2500)  4 N 2.14-2.17
Rh (0.6469, 0.3531, 0.7500)  4 N 2.14-2.17
N (0.0312, 0.9688, 0.7500)  2 Rh 2.17, 2 Pa 2.40
N (0.2097, 0.7903, 0.1375)  1 Rh 2.14
N (0.2097, 0.7903, 0.3625)  1 Rh 2.14
N (0.5000, 0.5000, 0.0000)  4 Sm 2.36
N (0.5000, 0.5000, 0.5000)  4 Sm 2.36
N (0.7903, 0.2097, 0.6375)  1 Rh 2.14
N (0.7903, 0.2097, 0.8625)  1 Rh 2.14
N (0.9688, 0.0312, 0.2500)  2 Rh 2.17, 2 Pa 2.40

uncorrected formation energy: -100.5 kJ per mole of atoms
D(E_F): 10.2 states/eV per cell

=====

# 5
# AcMg9Pd3

Crystalline AcMg9Pd3 at its relaxed geometry (PBE, Alexandria via LeMat-Bulk).

Unit cell a=7.7129 b=7.7129 c=7.2521 alpha=97.38 beta=97.38 gamma=136.91
With the nearest neighbours (Å) after each atom.
Fractional positions:
Ac (0.0000, 0.0000, 0.0000)  14 Mg 3.42-3.63, 2 Pd 3.74
Mg (0.0000, 0.0000, 0.5000)  2 Pd 2.83, 8 Mg 2.98-3.12
Mg (0.0248, 0.6642, 0.6703)  2 Pd 2.81-2.86, 4 Mg 3.02-3.12
Mg (0.2940, 0.5220, 0.7828)  3 Pd 2.81-2.84, 4 Mg 2.95-3.05
Mg (0.3358, 0.9752, 0.3297)  2 Pd 2.81-2.86, 4 Mg 3.02-3.12
Mg (0.4780, 0.7060, 0.2172)  3 Pd 2.81-2.84, 4 Mg 2.95-3.05
Mg (0.5220, 0.2940, 0.7828)  3 Pd 2.81-2.84, 4 Mg 2.95-3.05
Mg (0.6642, 0.0248, 0.6703)  2 Pd 2.81-2.86, 4 Mg 3.02-3.12
Mg (0.7060, 0.4780, 0.2172)  3 Pd 2.81-2.84, 4 Mg 2.95-3.05
Mg (0.9752, 0.3358, 0.3297)  2 Pd 2.81-2.86, 4 Mg 3.02-3.12
Pd (0.0000, 0.5000, 0.0000)  8 Mg 2.81-2.86, 2 Pd 2.83
Pd (0.5000, 0.0000, 0.0000)  8 Mg 2.81-2.86, 2 Pd 2.83
Pd (0.5000, 0.5000, 0.5000)  6 Mg 2.81-2.83

ΔH_f (0 K): -5.02 eV per formula unit
D(E_F): 6.6 states/eV per cell

=====

# 6
# MnCuW2N

Crystalline MnCuW2N at its relaxed geometry (PBE, Alexandria via LeMat-Bulk).

Unit cell a=4.0750 b=4.0750 c=3.7805 alpha=90.00 beta=90.00 gamma=90.00
With the nearest neighbours (Å) after each atom.
Fractional positions:
Mn (0.0000, 0.0000, 0.0000)  2 N 1.89
Cu (0.5000, 0.5000, 0.0000)  8 W 2.78, 4 Mn 2.88
W (0.0000, 0.5000, 0.5000)  2 N 2.04
W (0.5000, 0.0000, 0.5000)  2 N 2.04
N (0.0000, 0.0000, 0.5000)  2 Mn 1.89, 4 W 2.04

uncorrected formation energy: 11.1 kJ per mole of atoms
D(E_F): 4.8 states/eV per cell

=====

# 7
# KCu2H3

Crystalline KCu2H3 at its relaxed geometry (PBE, Alexandria via LeMat-Bulk).

Unit cell a=6.2392 b=6.2392 c=4.7345 alpha=90.00 beta=90.00 gamma=103.33
With the nearest neighbours (Å) after each atom.
Fractional positions:
K (0.1869, 0.8131, 0.7500)  10 H 3.10-3.33, 4 Cu 3.41
K (0.8131, 0.1869, 0.2500)  10 H 3.10-3.33, 4 Cu 3.41
Cu (0.3392, 0.3392, 0.0000)  4 H 1.68-1.87
Cu (0.3392, 0.3392, 0.5000)  4 H 1.68-1.87
Cu (0.6608, 0.6608, 0.0000)  4 H 1.68-1.87
Cu (0.6608, 0.6608, 0.5000)  4 H 1.68-1.87
H (0.1439, 0.3077, 0.7500)  2 Cu 1.68
H (0.3077, 0.1439, 0.2500)  2 Cu 1.68
H (0.4256, 0.5744, 0.2500)  4 Cu 1.87
H (0.5744, 0.4256, 0.7500)  4 Cu 1.87
H (0.6923, 0.8561, 0.7500)  2 Cu 1.68
H (0.8561, 0.6923, 0.2500)  2 Cu 1.68

D(E_F): 0.0 states/eV per cell
VASP energy: -0.1211 Ha/atom

=====

# 8
# InAs3Cl

Crystalline InAs3Cl at its relaxed geometry (PBE, Alexandria via LeMat-Bulk).

Unit cell a=4.9712 b=4.9712 c=4.9712 alpha=90.00 beta=90.00 gamma=90.00
With the nearest neighbours (Å) after each atom.
Fractional positions:
In (0.0000, 0.0000, 0.0000)  12 As 3.52
As (0.0000, 0.5000, 0.5000)  2 Cl 2.49
As (0.5000, 0.0000, 0.5000)  2 Cl 2.49
As (0.5000, 0.5000, 0.0000)  2 Cl 2.49
Cl (0.5000, 0.5000, 0.5000)  6 As 2.49

uncorrected formation energy: 85.6 kJ per mole of atoms
ΔE to the lowest computed polymorph: 0.0 kJ per mole of atoms
D(E_F): 5.0 states/eV per cell

=====

# 9
# NaSrBi

Crystalline NaSrBi at its relaxed geometry (PBE, Alexandria via LeMat-Bulk).

Unit cell a=5.8850 b=5.8850 c=5.8850 alpha=133.58 beta=133.58 gamma=67.74
With the nearest neighbours (Å) after each atom.
Fractional positions:
Na (0.0000, 0.0000, 0.0000)  1 Sr 3.12, 1 Bi 3.19
Sr (0.3195, 0.3195, 0.0000)  1 Na 3.12, 1 Bi 3.46
Bi (0.6733, 0.6733, 0.0000)  1 Na 3.19, 1 Sr 3.46

ΔH_f (0 K): -1.48 eV per formula unit
D(E_F): 1.2 states/eV per cell

=====

# 10
# CaTiBeOs2

Crystalline CaTiBeOs2 at its relaxed geometry (PBE, Alexandria via LeMat-Bulk).

Unit cell a=4.6787 b=4.6787 c=4.1817 alpha=90.00 beta=90.00 gamma=90.00
With the nearest neighbours (Å) after each atom.
Fractional positions:
Ca (0.0000, 0.0000, 0.0000)  2 Be 2.09, 4 Os 2.34
Ti (0.5000, 0.5000, 0.5000)  8 Os 3.14, 4 Be 3.31
Be (0.0000, 0.0000, 0.5000)  2 Ca 2.09
Os (0.0000, 0.5000, 0.0000)  2 Ca 2.34
Os (0.5000, 0.0000, 0.0000)  2 Ca 2.34

ΔH_f (0 K): 11.74 eV per formula unit
D(E_F): 3.6 states/eV per cell